Record 1
## Mg7VH16 (GGA-PBE)

Data for an optimized crystal structure of Mg7VH16.

abc: 6.5434 6.5434 6.5434
angles: 60.00 60.00 60.00
Closest atoms and distances in Å follow each position.
Positions (direct):
H  0.1161  0.1161  0.6517  1 V 1.86, 3 Mg 2.06
V  0.0000  0.0000  0.0000  8 H 1.86
H  0.6284  0.1149  0.6284  4 Mg 1.99-2.06
H  0.3716  0.3716  0.8851  4 Mg 1.99-2.06
H  0.3483  0.8839  0.8839  1 V 1.86, 3 Mg 2.06
Mg  0.0000  0.0000  0.5000  8 H 1.99-2.06
H  0.8839  0.3483  0.8839  1 V 1.86, 3 Mg 2.06
H  0.6517  0.1161  0.1161  1 V 1.86, 3 Mg 2.06
H  0.8839  0.8839  0.8839  1 V 1.86, 3 Mg 2.06
H  0.8839  0.8839  0.3483  1 V 1.86, 3 Mg 2.06
Mg  0.5000  0.5000  0.5000  8 H 2.06
Mg  0.0000  0.5000  0.5000  8 H 1.99-2.06
Mg  0.5000  0.0000  0.0000  8 H 1.99-2.06
H  0.1149  0.6284  0.6284  4 Mg 1.99-2.06
Mg  0.5000  0.0000  0.5000  8 H 1.99-2.06
Mg  0.0000  0.5000  0.0000  8 H 1.99-2.06
H  0.1161  0.6517  0.1161  1 V 1.86, 3 Mg 2.06
H  0.1161  0.1161  0.1161  1 V 1.86, 3 Mg 2.06
H  0.3716  0.8851  0.3716  4 Mg 1.99-2.06
H  0.6284  0.6284  0.6284  4 Mg 1.99-2.06
H  0.6284  0.6284  0.1149  4 Mg 1.99-2.06
H  0.8851  0.3716  0.3716  4 Mg 1.99-2.06
Mg  0.5000  0.5000  0.0000  8 H 1.99-2.06
H  0.3716  0.3716  0.3716  4 Mg 1.99-2.06

Properties
- E: -76.81 eV for the cell shown
- ρ: 2.0 g/cm3
- Space-group type: No. 225

Record 2
## MgVH (GGA-PBE)

Data for an optimized crystal structure of MgVH.

abc: 2.9178 2.9180 9.7446
angles: 94.32 85.68 117.40
Closest atoms and distances in Å follow each position.
Positions (direct):
Mg  0.3867  0.6815  0.5086  1 H 2.00
H  0.3365  0.7326  0.7148  3 V 1.79-1.83, 1 Mg 2.00
Mg  0.7847  0.2833  0.2333  3 H 2.30-2.50
H  0.1203  0.9486  0.0554  3 V 1.83-1.88
V  0.4687  0.6002  0.9778  3 H 1.83-1.88
V  0.9888  0.0804  0.7786  3 H 1.79-1.83

Properties
- E: -28.25 eV for the cell shown
- Energy relative to the lowest polymorph listed for this composition: 0.0057 eV per atom
- ρ: 3.5 g/cm3
- Space-group type: No. 8

Record 3
## MgVH (GGA-PBE)

Data for an optimized crystal structure of MgVH.

abc: 4.5992 4.5992 2.7167
angles: 90.00 90.00 120.00
Closest atoms and distances in Å follow each position.
Positions (direct):
V  0.6667  0.3333  0.0000  3 Mg 2.66, 2 V 2.72
Mg  0.3333  0.6667  0.0000  3 V 2.66, 2 Mg 2.72
H  0.0000  0.0000  0.5000  2 H 2.72, 6 Mg 2.98, 6 V 2.98

Properties
- E: -10.14 eV for the cell shown
- Energy relative to the lowest polymorph listed for this composition: 1.3342 eV per atom
- ρ: 2.5 g/cm3
- Space-group type: No. 187

Record 4
## MgV2H (GGA-PBE)

Data for an optimized crystal structure of MgV2H.

abc: 4.2194 4.2194 4.2194
angles: 60.00 60.00 60.00
Closest atoms and distances in Å follow each position.
Positions (direct):
Mg  0.5000  0.5000  0.5000  8 V 2.58
V  0.7500  0.7500  0.7500  4 H 2.58, 4 Mg 2.58
V  0.2500  0.2500  0.2500  4 Mg 2.58, 4 H 2.58
H  0.0000  0.0000  0.0000  8 V 2.58

Properties
- E: -18.61 eV for the cell shown
- Energy relative to the lowest polymorph listed for this composition: 0.8796 eV per atom
- ρ: 4.0 g/cm3
- Space-group type: No. 225